Record 1
Compound: Pr4NiRh
Source: Alexandria
Functional: PBE
Structure: relaxed

Summary:
For the raw total energy, the calculation gives -5.660 eV/atom. The value obtained for the density is 7.38 g cm⁻³. For the polymorph energy (0 for the lowest one), the calculation gives 0 meV per atom. As for the space group: P4/mcc (124).

abc: 6.534 7.068 7.068
angles: 90.00 90.00 90.00
Fractional coordinates of all 12 atoms:
Pr 0.000 0.183 0.685
Pr 0.000 0.817 0.315
Pr 0.000 0.315 0.183
Pr 0.000 0.685 0.817
Pr 0.500 0.817 0.685
Pr 0.500 0.183 0.315
Pr 0.500 0.685 0.183
Pr 0.500 0.315 0.817
Ni 0.250 0.000 0.000
Ni 0.750 0.000 0.000
Rh 0.250 0.500 0.500
Rh 0.750 0.500 0.500

***

Record 2
Compound: BeAs2RuPb
Source: Alexandria
Functional: PBE
Structure: relaxed

Summary:
For the raw total energy, the calculation gives -4.404 eV/atom. The value obtained for the density is 6.71 g cm⁻³. As for the space group: P4/mmm (123).

abc: 4.632 5.385 4.632
angles: 90.00 90.00 90.00
Fractional coordinates of all 5 atoms:
Pb 0.000 0.500 0.000
Ru 0.000 0.000 0.000
As 0.000 0.000 0.500
As 0.500 0.000 0.000
Be 0.500 0.500 0.500

***

Record 3
Compound: Ni3PH
Source: Alexandria
Functional: PBE
Structure: relaxed

Summary:
For the raw total energy, the calculation gives -4.508 eV/atom. The value obtained for the density is 4.81 g cm⁻³. For the polymorph energy (0 for the lowest one), the calculation gives 970 meV per atom. As for the space group: Pm-3m (221).

abc: 4.158 4.158 4.158
angles: 90.00 90.00 90.00
Fractional coordinates of all 5 atoms:
Ni 0.000 0.500 0.000
Ni 0.000 0.000 0.500
Ni 0.500 0.000 0.000
H 0.500 0.500 0.500
P 0.000 0.000 0.000

***

Record 4
Compound: AcPmPb6
Source: Alexandria
Functional: PBE
Structure: relaxed

Summary:
For the raw total energy, the calculation gives -4.273 eV/atom. The value obtained for the density is 10.79 g cm⁻³. As for the space group: P4/mmm (123).

abc: 5.002 5.002 9.937
angles: 90.00 90.00 90.00
Fractional coordinates of all 8 atoms:
Ac 0.000 0.000 0.000
Pm 0.000 0.000 0.500
Pb 0.500 0.500 0.000
Pb 0.500 0.500 0.500
Pb 0.500 0.000 0.258
Pb 0.500 0.000 0.742
Pb 0.000 0.500 0.258
Pb 0.000 0.500 0.742

***

Record 5
Compound: Rb2AlHgAs
Source: Alexandria
Functional: PBE
Structure: relaxed

Summary:
For the raw total energy, the calculation gives -1.764 eV/atom. The value obtained for the density is 3.69 g cm⁻³. As for the space group: P4/mmm (123).

abc: 6.505 5.037 6.505
angles: 90.00 90.00 90.00
Last column: magnetic moment on the atom in μB.
Fractional coordinates of all 5 atoms:
As 0.500 0.500 0.500  0.32
Hg 0.000 0.000 0.000  -0.04
Rb 0.000 0.000 0.500  -0.01
Rb 0.500 0.000 0.000  0.00
Al 0.000 0.500 0.000  -0.04

***

Record 6
Compound: Zr2Cr2Ge
Source: Alexandria
Functional: PBE
Structure: relaxed

Summary:
For the raw total energy, the calculation gives -8.087 eV/atom. The value obtained for the density is 6.73 g cm⁻³. For the polymorph energy (0 for the lowest one), the calculation gives 177 meV per atom. As for the space group: I4/mmm (139).

abc: 3.214 3.214 8.871
angles: 79.56 79.56 90.00
Fractional coordinates of all 5 atoms:
Cr 0.750 0.250 0.500
Cr 0.250 0.750 0.500
Ge 0.000 0.000 0.000
Zr 0.392 0.392 0.216
Zr 0.608 0.608 0.784

***

Record 7
Compound: Na5Al2Cd12
Source: Alexandria
Functional: PBE
Structure: relaxed

Summary:
For the raw total energy, the calculation gives -1.338 eV/atom. The value obtained for the density is 5.44 g cm⁻³. As for the space group: C2/m (12).

abc: 7.451 7.781 8.893
angles: 64.06 89.17 90.00
Fractional coordinates of all 19 atoms:
Na 0.571 0.757 0.486
Na 0.012 0.705 0.590
Na 0.500 0.000 0.000
Na 0.988 0.295 0.410
Na 0.429 0.243 0.514
Al 0.000 0.681 0.000
Al 0.000 0.319 0.000
Cd 0.093 0.090 0.819
Cd 0.748 0.331 0.710
Cd 0.748 0.958 0.710
Cd 0.332 0.420 0.766
Cd 0.332 0.815 0.766
Cd 0.673 0.553 0.894
Cd 0.327 0.447 0.106
Cd 0.668 0.580 0.234
Cd 0.668 0.185 0.234
Cd 0.252 0.669 0.290
Cd 0.252 0.042 0.290
Cd 0.907 0.910 0.181

***

Record 8
Compound: Pu4Ga3Pd
Source: Alexandria
Functional: PBE
Structure: relaxed

Summary:
For the raw total energy, the calculation gives -9.231 eV/atom. The value obtained for the density is 12.08 g cm⁻³. As for the space group: Pmmm (47).

abc: 3.005 5.440 10.864
angles: 90.00 90.00 90.00
Last column: magnetic moment on the atom in μB.
Fractional coordinates of all 8 atoms:
Pd 0.500 0.500 0.000  0.02
Ga 0.500 0.000 0.253  0.03
Ga 0.500 0.500 0.500  0.01
Ga 0.500 0.000 0.747  0.03
Pu 0.000 0.000 0.500  5.49
Pu 0.000 0.500 0.757  -5.44
Pu 0.000 0.000 0.000  -5.44
Pu 0.000 0.500 0.243  -5.44

***

Record 9
Compound: YTlTc
Source: Alexandria
Functional: PBE
Structure: relaxed

Summary:
For the raw total energy, the calculation gives -5.385 eV/atom. The value obtained for the density is 8.05 g cm⁻³. For the polymorph energy (0 for the lowest one), the calculation gives 858 meV per atom. As for the space group: F-43m (216).

abc: 4.850 4.850 4.850
angles: 60.00 60.00 60.00
Last column: magnetic moment on the atom in μB.
Fractional coordinates of all 3 atoms:
Tc 0.000 0.000 0.000  1.17
Tl 0.500 0.500 0.500  -0.05
Y 0.750 0.750 0.750  -0.06

***

Record 10
Compound: CdGaSbO5
Source: Alexandria
Functional: PBE
Structure: relaxed

Summary:
For the raw total energy, the calculation gives -5.603 eV/atom. The value obtained for the density is 6.07 g cm⁻³. As for the space group: C2/c (15). The uncorrected formation energy comes out at -1155 kJ/mol of formula units.

abc: 5.692 5.692 7.479
angles: 104.65 104.65 106.80
Fractional coordinates of all 16 atoms:
Cd 0.334 0.666 0.250
Cd 0.666 0.334 0.750
Ga 0.686 0.314 0.250
Ga 0.314 0.686 0.750
Sb 0.000 0.000 0.500
Sb 0.000 0.000 0.000
O 0.083 0.917 0.250
O 0.917 0.083 0.750
O 0.913 0.312 0.111
O 0.087 0.688 0.889
O 0.688 0.087 0.389
O 0.312 0.913 0.611
O 0.740 0.638 0.423
O 0.260 0.362 0.577
O 0.362 0.260 0.077
O 0.638 0.740 0.923

***

Record 11
Compound: LiPm3Ho3Te8
Source: Alexandria
Functional: PBE
Structure: relaxed

Summary:
For the raw total energy, the calculation gives -5.019 eV/atom. The value obtained for the density is 6.82 g cm⁻³. As for the space group: R-3m (166). The uncorrected formation energy comes out at -1955 kJ/mol of formula units.

abc: 8.749 8.750 8.784
angles: 119.87 90.00 120.00
Fractional coordinates of all 15 atoms:
Li 0.000 0.000 0.500
Pm 0.000 0.000 0.000
Pm 0.000 0.500 0.000
Pm 0.500 0.500 0.000
Ho 0.500 0.000 0.500
Ho 0.500 0.500 0.500
Ho 0.000 0.500 0.500
Te 0.253 0.506 0.260
Te 0.747 0.494 0.740
Te 0.752 0.503 0.258
Te 0.248 0.497 0.742
Te 0.751 0.007 0.258
Te 0.249 0.993 0.742
Te 0.255 0.007 0.258
Te 0.745 0.993 0.742

***

Record 12
Compound: Zn3TeSe2
Source: Alexandria
Functional: PBE
Structure: relaxed

Summary:
For the raw total energy, the calculation gives -2.940 eV/atom. The value obtained for the density is 5.24 g cm⁻³. As for the space group: Cc (9). The uncorrected formation energy comes out at -358 kJ/mol of formula units.

abc: 7.209 7.209 7.201
angles: 99.56 99.56 120.02
Fractional coordinates of all 12 atoms:
Zn 0.055 0.240 0.395
Zn 0.240 0.055 0.895
Zn 0.884 0.401 0.877
Zn 0.401 0.884 0.377
Zn 0.539 0.705 0.876
Zn 0.705 0.539 0.376
Te 0.098 0.927 0.507
Te 0.927 0.098 0.007
Se 0.595 0.430 0.007
Se 0.758 0.265 0.508
Se 0.430 0.595 0.507
Se 0.265 0.758 0.008